Record 1
! SrIn8Ag4, relaxed, DFT PBE-GGA; values from VASP
&SYSTEM
  ibrav = 0, nat = 13, ntyp = 3
/
ATOMIC_SPECIES
Sr 87.62 Sr.upf
In 114.82 In.upf
Ag 107.87 Ag.upf
CELL_PARAMETERS angstrom
-5.124 5.124 2.945
5.124 -5.124 2.945
5.124 5.124 -2.945
ATOMIC_POSITIONS angstrom
Sr 0.000 0.000 0.000
In 3.568 0.000 0.000
In 6.681 0.000 0.000
In 5.124 2.924 0.000
In 0.000 3.568 0.000
In 2.924 5.124 0.000
In 2.200 0.000 2.945
In 0.000 6.681 0.000
In 0.000 2.200 2.945
Ag 2.562 2.562 -1.472
Ag 2.562 -2.562 1.472
Ag -2.562 2.562 1.472
Ag 2.562 2.562 1.472
! Space-group type = I4/mmm, No. 139
! Crystal system = tetragonal
! Energy of formation from the pure elements = -11.63 kJ/mol of atoms
! VASP energy = -36.56 eV/cell

Record 2
! Sr3InAg3, relaxed, DFT PBE-GGA; values from VASP
&SYSTEM
  ibrav = 0, nat = 14, ntyp = 3
/
ATOMIC_SPECIES
Sr 87.62 Sr.upf
In 114.82 In.upf
Ag 107.87 Ag.upf
CELL_PARAMETERS angstrom
6.189 -2.320 0.000
6.189 2.320 0.000
-5.405 0.000 15.048
ATOMIC_POSITIONS angstrom
Sr -1.790 0.000 5.743
Sr -3.679 0.000 13.889
Sr 1.741 0.000 3.473
Sr 5.232 0.000 11.575
Sr 10.652 0.000 1.159
Sr 8.763 0.000 9.305
In 0.004 0.000 8.958
In 6.969 0.000 6.090
Ag 2.178 0.000 6.906
Ag -0.089 0.000 13.883
Ag 1.612 0.000 11.538
Ag 5.361 0.000 3.510
Ag 7.062 0.000 1.165
Ag 4.796 0.000 8.142
! Excess energy over the best structure of this formula in the dataset = 0 meV/atom
! Space-group type = C2/m, No. 12
! Crystal system = monoclinic
! Energy of formation from the pure elements = -31.33 kJ/mol of atoms
! VASP energy = -37.22 eV/cell

Record 3
! Sr3In4Ag4, relaxed, DFT PBE-GGA; values from VASP
&SYSTEM
  ibrav = 0, nat = 11, ntyp = 3
/
ATOMIC_SPECIES
Sr 87.62 Sr.upf
In 114.82 In.upf
Ag 107.87 Ag.upf
CELL_PARAMETERS angstrom
4.289 0.000 0.000
-0.005 4.792 0.000
-2.142 -2.393 14.953
ATOMIC_POSITIONS angstrom
Sr 0.000 0.000 0.000
Sr -0.005 2.390 4.398
Sr 2.146 0.009 10.555
In 0.001 0.007 7.582
In 0.003 2.408 12.106
In 2.139 -0.010 2.847
In 2.140 2.392 7.371
Ag -0.002 2.406 9.309
Ag -0.003 0.011 13.531
Ag 2.144 2.387 1.422
Ag 2.143 -0.007 5.644
! Excess energy over the best structure of this formula in the dataset = 20 meV/atom
! Space-group type = P-1, No. 2
! Crystal system = triclinic
! Energy of formation from the pure elements = -30.76 kJ/mol of atoms
! VASP energy = -30.91 eV/cell